Computed, not measured: a relaxed La2TiBPd crystal at the PBE level of DFT.

Unit cell a=5.6284 b=5.6284 c=4.7218 alpha=90.00 beta=90.00 gamma=90.00
Space group P4/mmm (No. 123)
Unique sites:
La 0.0000 0.5000 0.0000 (multiplicity 2)
Ti 0.0000 0.0000 0.5000 (multiplicity 1)
B 0.5000 0.5000 0.5000 (multiplicity 1)
Pd 0.0000 0.0000 0.0000 (multiplicity 1)

Summary:
DOS(E_F) = 7.50 states/eV/cell
Uncorrected energy = -25.6 eV for the cell shown
M_tot = 0.43 μB/atom